1.
A plane-wave DFT calculation with PBE was carried out for PrEr2Sn9 after structural relaxation.

Formation energy, eV/f.u.: -5.1
Total magnetization, μB per formula unit: 0.00
Calculated total energy, Ry per atom: -0.3372
Space group: P4/mmm, No. 123

Structure (POSCAR):
```
PrEr2Sn9
1.0
-3.3940 -1.9322 -2.6446
3.2642 -2.3082 -2.5028
-0.8154 -11.0095 9.0901
Pr Er Sn
1 2 9
direct
0.0000 0.0000 0.0000
0.0000 0.0000 0.3339
0.0000 0.0000 0.6661
0.5000 0.5000 0.0000
0.5000 0.5000 0.3365
0.5000 0.5000 0.6635
0.5000 0.0000 0.1724
0.5000 0.0000 0.5000
0.5000 0.0000 0.8276
0.0000 0.5000 0.1724
0.0000 0.5000 0.5000
0.0000 0.5000 0.8276
```

2.
A plane-wave DFT calculation with PBE was carried out for Pr8ErSn6 after structural relaxation.

Formation energy, eV/f.u.: -8.4
Total magnetization, μB per formula unit: 0.00
Calculated total energy, Ry per atom: -0.3687
Space group: R-3, No. 148

Structure (POSCAR):
```
Pr8ErSn6
1.0
9.3955 0.0000 0.0000
4.6978 8.1368 0.0000
4.6978 2.7123 6.6488
Pr Er Sn
8 1 6
direct
0.5584 0.2340 0.3091
0.7660 0.1015 0.6909
0.1015 0.4416 0.6909
0.6660 0.6660 0.0021
0.3340 0.3340 0.9979
0.8985 0.5584 0.3091
0.2340 0.8985 0.3091
0.4416 0.7660 0.6909
0.0000 0.0000 0.0000
0.3925 0.0680 0.7986
0.9320 0.2590 0.2014
0.2590 0.6075 0.2014
0.7410 0.3925 0.7986
0.0680 0.7410 0.7986
0.6075 0.9320 0.2014
```

3.
A plane-wave DFT calculation with PBE was carried out for Pr4Er3Sn4 after structural relaxation.

Formation energy, eV/f.u.: -6.0
Total magnetization, μB per formula unit: 0.00
Calculated total energy, Ry per atom: -0.3666
Space group: Immm, No. 71

Structure (POSCAR):
```
Pr4Er3Sn4
1.0
3.5613 0.0000 0.0000
0.0000 9.6245 0.0000
-1.7807 -4.8122 9.6176
Pr Er Sn
4 3 4
direct
0.3372 0.1623 0.6743
0.6628 0.4880 0.3257
0.6628 0.8377 0.3257
0.3372 0.5120 0.6743
0.0894 0.0894 0.1789
0.9106 0.9106 0.8211
0.0000 0.5000 0.0000
0.2787 0.7787 0.5574
0.7213 0.2213 0.4426
0.5000 0.7797 0.0000
0.5000 0.2203 0.0000
```

4.
A plane-wave DFT calculation with PBE was carried out for PrEr4Sn4 after structural relaxation.

Formation energy, eV/f.u.: -3.7
Total magnetization, μB per formula unit: 0.00
Calculated total energy, Ry per atom: -0.3493
Space group: P4_2/n, No. 86

Structure (POSCAR):
```
PrEr4Sn4
1.0
6.0825 0.0000 0.0000
0.0000 9.8740 0.0000
0.0000 0.0000 9.8740
Pr Er Sn
2 8 8
direct
0.0000 0.0000 0.0000
0.5000 0.5000 0.5000
0.3928 0.3512 0.8939
0.8928 0.6061 0.8512
0.3928 0.6488 0.1061
0.1072 0.1488 0.6061
0.6072 0.8939 0.6488
0.1072 0.8512 0.3939
0.8928 0.3939 0.1488
0.6072 0.1061 0.3512
0.5953 0.7925 0.3568
0.5953 0.2075 0.6432
0.0953 0.8568 0.7075
0.9047 0.2925 0.8568
0.9047 0.7075 0.1432
0.4047 0.3568 0.2075
0.4047 0.6432 0.7925
0.0953 0.1432 0.2925
```

5.
A plane-wave DFT calculation with PBE was carried out for Pr3ErSn12 after structural relaxation.

Formation energy, eV/f.u.: -7.7
Total magnetization, μB per formula unit: 0.00
Calculated total energy, Ry per atom: -0.3428
Space group: P4/mmm, No. 123

Structure (POSCAR):
```
Pr3ErSn12
1.0
-1.1920 1.3048 -4.4506
-2.0874 -4.2544 -0.6882
-16.3473 6.9814 6.4252
Pr Er Sn
3 1 12
direct
0.0000 0.0000 0.2476
0.0000 0.0000 0.5000
0.0000 0.0000 0.7524
0.0000 0.0000 0.0000
0.5000 0.5000 0.0000
0.5000 0.5000 0.2462
0.5000 0.5000 0.5000
0.5000 0.5000 0.7538
0.5000 0.0000 0.1199
0.5000 0.0000 0.3733
0.5000 0.0000 0.6267
0.5000 0.0000 0.8801
0.0000 0.5000 0.1199
0.0000 0.5000 0.3733
0.0000 0.5000 0.6267
0.0000 0.5000 0.8801
```

6.
A plane-wave DFT calculation with PBE was carried out for PrErSn after structural relaxation.

Formation energy, eV/f.u.: -0.6
Total magnetization, μB per formula unit: 0.63
Calculated total energy, Ry per atom: -0.3426
Space group: P-6m2, No. 187

Structure (POSCAR):
```
PrErSn
1.0
-1.6845 -1.6402 -4.0057
-3.9521 -2.4401 -0.0317
-5.7746 9.3712 -1.4088
Pr Er Sn
2 2 2
direct
0.1549 0.5607 0.0000
0.1550 0.5607 0.5781
0.8216 0.2273 0.7891
0.4882 0.8941 0.2891
0.8215 0.2275 0.1399
0.8215 0.2275 0.4382
```

7.
A plane-wave DFT calculation with PBE was carried out for PrErSn after structural relaxation.

Formation energy, eV/f.u.: -1.2
Total magnetization, μB per formula unit: 0.00
Calculated total energy, Ry per atom: -0.3566
Space group: I4mm, No. 107

Structure (POSCAR):
```
PrErSn
1.0
3.5936 0.0000 0.0000
0.0000 3.5936 0.0000
-1.7968 -1.7968 7.0372
Pr Sn Er
1 1 1
direct
0.9872 0.9872 0.9745
0.3288 0.3288 0.6576
0.6840 0.6840 0.3679
```

8.
A plane-wave DFT calculation with PBE was carried out for Pr2ErSn9 after structural relaxation.

Formation energy, eV/f.u.: -5.6
Total magnetization, μB per formula unit: 0.00
Calculated total energy, Ry per atom: -0.3414
Space group: P4/mmm, No. 123

Structure (POSCAR):
```
Pr2ErSn9
1.0
4.7432 0.0000 0.0000
0.0000 4.7432 0.0000
0.0000 0.0000 14.4134
Pr Er Sn
2 1 9
direct
0.0000 0.0000 0.3311
0.0000 0.0000 0.6689
0.0000 0.0000 0.0000
0.5000 0.5000 0.0000
0.5000 0.5000 0.3300
0.5000 0.5000 0.6700
0.5000 0.0000 0.1607
0.5000 0.0000 0.5000
0.5000 0.0000 0.8393
0.0000 0.5000 0.1607
0.0000 0.5000 0.5000
0.0000 0.5000 0.8393
```